A geometry-optimized Zn2W3O8 structure, computed with GGA+U.

a = 6.356 Å, b = 6.356 Å, c = 9.476 Å
α = 90.00°, β = 90.00°, γ = 120.00°
Positions (direct):
Zn (0.333, 0.667, 0.000)
Zn (0.333, 0.667, 0.375)
Zn (0.667, 0.333, 0.500)
Zn (0.667, 0.333, 0.875)
W (0.164, 0.329, 0.702)
W (0.164, 0.836, 0.702)
W (0.329, 0.164, 0.202)
W (0.671, 0.836, 0.702)
W (0.836, 0.164, 0.202)
W (0.836, 0.671, 0.202)
O (0.000, 0.000, 0.314)
O (0.000, 0.000, 0.814)
O (0.034, 0.517, 0.825)
O (0.165, 0.331, 0.102)
O (0.165, 0.835, 0.102)
O (0.331, 0.165, 0.602)
O (0.333, 0.667, 0.585)
O (0.483, 0.517, 0.825)
O (0.483, 0.966, 0.825)
O (0.517, 0.034, 0.325)
O (0.517, 0.483, 0.325)
O (0.667, 0.333, 0.085)
O (0.669, 0.835, 0.102)
O (0.835, 0.165, 0.602)
O (0.835, 0.669, 0.602)
O (0.966, 0.483, 0.325)

Distance to the lowest polymorph of the same formula ... 0.0 meV/atom
Total moment ... 0.462 μB/atom
DFT total energy ... -6.63 eV/atom